Entry 1:
Computed, not measured: a geometry-optimized NdDy2Ho6Sc structure at the PBE-GGA level of DFT.

Values from the calculation:
Energy relative to the elements in meV per atom: 128
E in eV/atom: -4.649
N(E_F) in states/eV/f.u.: 13.6
Spin magnetization in μB/atom: 0.000

Cell lengths 8.678, 8.678, 9.382 Å; angles 93.53, 93.53, 117.17 degrees
Atoms (fractional coordinates):
Nd (0.024, 0.976, 0.750)
Nd (0.976, 0.024, 0.250)
Dy (0.203, 0.307, 0.549)
Dy (0.307, 0.203, 0.049)
Dy (0.693, 0.797, 0.951)
Dy (0.797, 0.693, 0.451)
Ho (0.006, 0.562, 0.688)
Ho (0.126, 0.751, 0.056)
Ho (0.249, 0.874, 0.444)
Ho (0.293, 0.510, 0.885)
Ho (0.438, 0.994, 0.812)
Ho (0.490, 0.707, 0.615)
Ho (0.510, 0.293, 0.385)
Ho (0.562, 0.006, 0.188)
Ho (0.707, 0.490, 0.115)
Ho (0.751, 0.126, 0.556)
Ho (0.874, 0.249, 0.944)
Ho (0.994, 0.438, 0.312)
Sc (0.414, 0.586, 0.250)
Sc (0.586, 0.414, 0.750)



Entry 2:
Computed, not measured: a geometry-optimized NdDy2HoSc structure at the PBE-GGA level of DFT.

Values from the calculation:
Energy relative to the elements in meV per atom: 335
E in eV/atom: -4.641
N(E_F) in states/eV/f.u.: 6.3
Spin magnetization in μB/atom: 0.000

Cell lengths 6.962, 6.962, 7.093 Å; angles 90.00, 90.00, 107.95 degrees
Atoms (fractional coordinates):
Nd (0.230, 0.770, 0.750)
Nd (0.770, 0.230, 0.250)
Dy (0.197, 0.197, 0.000)
Dy (0.197, 0.197, 0.500)
Dy (0.803, 0.803, 0.000)
Dy (0.803, 0.803, 0.500)
Ho (0.234, 0.766, 0.250)
Ho (0.766, 0.234, 0.750)
Sc (0.495, 0.505, 0.750)
Sc (0.505, 0.495, 0.250)



Entry 3:
Computed, not measured: a geometry-optimized Nd2DyHo4Sc structure at the PBE-GGA level of DFT.

Values from the calculation:
Energy relative to the elements in meV per atom: 424
E in eV/atom: -4.423
N(E_F) in states/eV/f.u.: 17.8
Spin magnetization in μB/atom: 0.261

Cell lengths 9.408, 9.408, 6.745 Å; angles 111.00, 111.00, 88.20 degrees
Atoms (fractional coordinates):
Nd (0.000, 0.000, 0.000)
Nd (0.000, 0.000, 0.500)
Nd (0.000, 0.500, 0.000)
Nd (0.500, 0.000, 0.500)
Dy (0.000, 0.500, 0.500)
Dy (0.500, 0.000, 0.000)
Ho (0.264, 0.736, 0.501)
Ho (0.264, 0.736, 0.999)
Ho (0.265, 0.267, 0.517)
Ho (0.267, 0.265, 0.017)
Ho (0.733, 0.735, 0.983)
Ho (0.735, 0.733, 0.483)
Ho (0.736, 0.264, 0.001)
Ho (0.736, 0.264, 0.499)
Sc (0.500, 0.500, 0.000)
Sc (0.500, 0.500, 0.500)



Entry 4:
Computed, not measured: a geometry-optimized Nd2Dy3Ho6Sc structure at the PBE-GGA level of DFT.

Values from the calculation:
Energy relative to the elements in meV per atom: 25
E in eV/atom: -4.736
N(E_F) in states/eV/f.u.: 15.5
Spin magnetization in μB/atom: 0.000

Cell lengths 6.113, 6.113, 11.724 Å; angles 94.97, 94.97, 119.98 degrees
Atoms (fractional coordinates):
Nd (0.166, 0.834, 0.000)
Nd (0.834, 0.166, 0.000)
Dy (0.000, 0.000, 0.500)
Dy (0.334, 0.666, 0.500)
Dy (0.666, 0.334, 0.500)
Ho (0.087, 0.417, 0.750)
Ho (0.253, 0.253, 0.251)
Ho (0.417, 0.087, 0.750)
Ho (0.583, 0.913, 0.250)
Ho (0.747, 0.747, 0.749)
Ho (0.913, 0.583, 0.250)
Sc (0.500, 0.500, 0.000)



Entry 5:
Computed, not measured: a geometry-optimized NdDy2HoSc4 structure at the PBE-GGA level of DFT.

Values from the calculation:
Energy relative to the elements in meV per atom: 437
E in eV/atom: -5.047
N(E_F) in states/eV/f.u.: 16.7
Spin magnetization in μB/atom: 0.461

Cell lengths 9.097, 9.097, 9.097 Å; angles 137.93, 103.22, 91.67 degrees
Atoms (fractional coordinates):
Nd (0.000, 0.000, 0.000)
Nd (0.500, 0.000, 0.500)
Dy (0.000, 0.500, 0.500)
Dy (0.500, 0.000, 0.000)
Dy (0.500, 0.500, 0.000)
Dy (0.500, 0.500, 0.500)
Ho (0.000, 0.000, 0.500)
Ho (0.000, 0.500, 0.000)
Sc (0.249, 0.250, 0.501)
Sc (0.249, 0.749, 0.999)
Sc (0.249, 0.750, 0.500)
Sc (0.250, 0.250, 0.000)
Sc (0.750, 0.750, 0.000)
Sc (0.751, 0.250, 0.500)
Sc (0.751, 0.251, 0.001)
Sc (0.751, 0.750, 0.499)



Entry 6:
Computed, not measured: a geometry-optimized NdDyHoSc structure at the PBE-GGA level of DFT.

Values from the calculation:
Energy relative to the elements in meV per atom: 113
E in eV/atom: -4.957
N(E_F) in states/eV/f.u.: 6.2
Offset from the most stable computed form in meV per atom: 18
Spin magnetization in μB/atom: 0.000

Cell lengths 7.881, 7.881, 7.881 Å; angles 90.00, 90.00, 90.00 degrees
Atoms (fractional coordinates):
Nd (0.000, 0.000, 0.000)
Nd (0.000, 0.500, 0.500)
Nd (0.500, 0.000, 0.500)
Nd (0.500, 0.500, 0.000)
Dy (0.000, 0.000, 0.500)
Dy (0.000, 0.500, 0.000)
Dy (0.500, 0.000, 0.000)
Dy (0.500, 0.500, 0.500)
Ho (0.250, 0.250, 0.250)
Ho (0.250, 0.750, 0.750)
Ho (0.750, 0.250, 0.750)
Ho (0.750, 0.750, 0.250)
Sc (0.250, 0.250, 0.750)
Sc (0.250, 0.750, 0.250)
Sc (0.750, 0.250, 0.250)
Sc (0.750, 0.750, 0.750)



Entry 7:
Computed, not measured: a geometry-optimized Nd3Dy2Ho6Sc structure at the PBE-GGA level of DFT.

Values from the calculation:
Energy relative to the elements in meV per atom: 30
E in eV/atom: -4.746
N(E_F) in states/eV/f.u.: 16.5
Spin magnetization in μB/atom: 0.000

Cell lengths 6.147, 6.147, 11.731 Å; angles 95.00, 95.00, 119.97 degrees
Atoms (fractional coordinates):
Nd (0.000, 0.000, 0.000)
Nd (0.333, 0.667, 0.000)
Nd (0.667, 0.333, 0.000)
Dy (0.167, 0.833, 0.500)
Dy (0.833, 0.167, 0.500)
Ho (0.088, 0.419, 0.256)
Ho (0.250, 0.250, 0.744)
Ho (0.419, 0.088, 0.256)
Ho (0.581, 0.912, 0.744)
Ho (0.750, 0.750, 0.256)
Ho (0.912, 0.581, 0.744)
Sc (0.500, 0.500, 0.500)



Entry 8:
Computed, not measured: a geometry-optimized NdDy5HoSc2 structure at the PBE-GGA level of DFT.

Values from the calculation:
Energy relative to the elements in meV per atom: 169
E in eV/atom: -4.833
N(E_F) in states/eV/f.u.: 13.4
Spin magnetization in μB/atom: 0.000

Cell lengths 11.107, 11.107, 9.325 Å; angles 90.00, 90.00, 150.81 degrees
Atoms (fractional coordinates):
Nd (0.184, 0.816, 0.500)
Nd (0.816, 0.184, 0.000)
Dy (0.009, 0.991, 0.503)
Dy (0.266, 0.734, 0.185)
Dy (0.307, 0.693, 0.800)
Dy (0.392, 0.608, 0.472)
Dy (0.468, 0.532, 0.770)
Dy (0.532, 0.468, 0.270)
Dy (0.608, 0.392, 0.972)
Dy (0.693, 0.307, 0.300)
Dy (0.734, 0.266, 0.685)
Dy (0.991, 0.009, 0.003)
Ho (0.403, 0.597, 0.099)
Ho (0.597, 0.403, 0.599)
Sc (0.113, 0.887, 0.193)
Sc (0.137, 0.863, 0.819)
Sc (0.863, 0.137, 0.319)
Sc (0.887, 0.113, 0.693)